First-principles (PBE-GGA) data for an optimized crystal structure of CeGaRu2C, as listed in the Alexandria database.

## Properties
- Formation energy: -1.778 eV/f.u.
- N(E_F): 1.2204 states/eV/atom
- Crystal system: orthorhombic
- Total moment: 0.2 μB/f.u.
- Space group: Cmcm, No. 63

Lattice parameters (Å, degrees): 4.003 5.955 7.298 90.00 90.00 109.64
Last column: magnetic moment on the atom in μB.
Atoms (fractional coordinates):
C  0.000  0.000  0.500  0.00
Ru  0.838  0.676  0.059  -0.02
C  0.000  0.000  0.000  0.00
Ru  0.162  0.324  0.559  -0.02
Ga  0.270  0.541  0.250  0.00
Ce  0.448  0.896  0.750  0.23
Ga  0.730  0.459  0.750  0.00
Ru  0.838  0.676  0.441  -0.02
Ce  0.552  0.104  0.250  0.23
Ru  0.162  0.324  0.941  -0.02


First-principles (PBE-GGA) data for an optimized crystal structure of Ce2ScGaC, as listed in the Alexandria database.

## Properties
- Formation energy: -1.810 eV/f.u.
- N(E_F): 1.5352 states/eV/atom
- Crystal system: tetragonal
- Total moment: 1.0 μB/f.u.
- Space group: P4/mmm, No. 123

Lattice parameters (Å, degrees): 4.909 4.909 4.562 90.00 90.00 90.00
Last column: magnetic moment on the atom in μB.
Atoms (fractional coordinates):
Sc  0.000  0.000  0.500  0.06
Ce  0.000  0.500  0.000  0.39
Ga  0.500  0.500  0.500  -0.02
Ce  0.500  0.000  0.000  0.39
C  0.000  0.000  0.000  -0.03


First-principles (PBE-GGA) data for an optimized crystal structure of Ce2Ga2Tc2C, as listed in the Alexandria database.

## Properties
- Formation energy: -2.825 eV/f.u.
- N(E_F): 1.3913 states/eV/atom
- Crystal system: monoclinic
- Total moment: 0.9 μB/f.u.
- Space group: C2/m, No. 12

Lattice parameters (Å, degrees): 3.819 5.935 6.513 73.32 72.95 71.24
Last column: magnetic moment on the atom in μB.
Atoms (fractional coordinates):
Ga  0.138  0.392  0.333  0.00
Ce  0.428  0.855  0.289  0.41
Ce  0.572  0.145  0.711  0.41
Tc  0.804  0.327  0.066  -0.02
Ga  0.862  0.608  0.667  0.00
Tc  0.196  0.673  0.934  -0.02
C  0.000  0.000  0.000  0.00